The following is a DFT calculation (PBE) of Hg2MoPt after structural relaxation.

Structure (POSCAR):
```
Hg2MoPt
1.0
4.971 -0.008 0.000
1.191 4.826 0.000
-3.081 -2.409 3.068
Hg Mo Pt
2 1 1
direct
0.000 0.000 0.000 Hg
0.250 0.750 0.500 Hg
0.500 0.500 0.000 Mo
0.750 0.250 0.500 Pt
```

Summary:
Space-group type   I-4m2 (119)
Energy of formation from the pure elements   0.4668 eV per atom
Raw total energy   -3.9021 eV/atom

The following is a DFT calculation (PBE) of Er4PbSe2 after structural relaxation.

Structure (POSCAR):
```
Er4PbSe2
1.0
-2.375 -3.374 0.710
5.598 -0.524 3.889
-6.363 6.593 10.047
Er Pb Se
8 2 4
direct
0.767 0.534 0.124 Er
0.767 0.534 0.376 Er
0.233 0.466 0.876 Er
0.233 0.466 0.624 Er
0.934 0.868 0.750 Er
0.066 0.132 0.250 Er
0.500 0.000 0.000 Er
0.500 0.000 0.500 Er
0.607 0.214 0.750 Pb
0.393 0.786 0.250 Pb
0.135 0.270 0.443 Se
0.865 0.730 0.943 Se
0.135 0.270 0.057 Se
0.865 0.730 0.557 Se
```

Summary:
Space-group type   Cmcm (63)
Uncorrected formation energy   -7.9 eV/f.u.
Raw total energy   -5.2620 eV/atom

The following is a DFT calculation (PBE) of GeIO2F after structural relaxation.

Structure (POSCAR):
```
GeIO2F
1.0
-1.107 3.596 -2.536
-2.923 -2.556 -2.349
-3.017 0.973 2.696
I Ge O F
1 1 2 1
direct
0.000 0.000 0.500 I
0.500 0.500 0.500 Ge
0.000 0.500 0.000 O
0.500 0.000 0.000 O
0.000 0.000 0.000 F
```

Summary:
Space-group type   P4/mmm (123)
Uncorrected formation energy   3.1 eV/f.u.
Raw total energy   -2.9685 eV/atom

The following is a DFT calculation (PBE) of La2AlBr after structural relaxation.

Structure (POSCAR):
```
La2AlBr
1.0
-3.171 2.264 0.053
-1.860 0.826 -3.323
-6.915 -6.331 0.014
La Al Br
2 1 1
direct
0.080 0.080 0.761 La
0.254 0.254 0.238 La
0.667 0.667 0.000 Al
0.500 0.500 0.501 Br
```

Summary:
Space-group type   R3m (160)
Uncorrected formation energy   -3.1 eV/f.u.
Raw total energy   -4.5912 eV/atom